A geometry-optimized BeCr4Cd2 structure, computed with PBE-GGA.

As for the crystal system: tetragonal. The calculation puts the density of states at the Fermi level at 0.925 states/eV/atom. The value obtained for the total energy is -5.490 eV/atom. The energy of formation comes out at 0.803 eV per atom. As for the density: 5.96 g cm⁻³.

The space group is I4/mmm (No. 139) and the conventional cell measures 4.2341, 4.2341 and 13.7402 Å, with angles of 90.00, 90.00 and 90.00 degrees. The distinct sites, in fractional coordinates, are Be at (0.0000, 0.0000, 0.0000), Cr at (0.0000, 0.0000, 0.1575), Cr at (0.0000, 0.5000, 0.0000) and Cd at (0.0000, 0.0000, 0.3604).